(1)
First-principles (meta-GGA SCAN) data for a crystal of CuHgP2 relaxed with PBEsol, as listed in Alexandria via LeMat-Bulk.

Structure (POSCAR):
```
CuHgP2
1.0
4.050 0.000 0.138
0.000 3.560 0.000
-1.454 0.000 4.869
Cu Hg P
1 1 2
Cartesian
2.025 1.780 0.069
-0.727 1.780 2.435
1.857 0.000 4.220
0.739 0.000 0.788
```

## Properties
* N(E_F): 0.94 states/eV per cell
* E: -103.7 eV/cell

---

(2)
First-principles (meta-GGA SCAN) data for a crystal of CuHg2P relaxed with PBEsol, as listed in Alexandria via LeMat-Bulk.

Structure (POSCAR):
```
CuHg2P
1.0
4.061 0.000 0.000
0.000 4.061 0.000
-2.030 -2.030 4.264
Cu Hg P
1 2 1
Cartesian
0.000 2.030 2.132
0.000 0.000 0.000
2.030 0.000 2.132
2.030 2.030 0.000
```

## Properties
* N(E_F): 1.39 states/eV per cell
* E: -159.8 eV/cell

---

(3)
First-principles (meta-GGA SCAN) data for a crystal of CuHgP2 relaxed with PBEsol, as listed in Alexandria via LeMat-Bulk.

Structure (POSCAR):
```
CuHgP2
1.0
-2.477 -1.764 -2.821
2.951 -2.789 -0.847
-1.616 0.022 4.455
Cu Hg P
1 1 2
Cartesian
0.237 -2.276 -1.834
0.786 -2.522 0.887
0.000 0.000 0.000
-1.928 -2.009 -0.100
```

## Properties
* N(E_F): 1.42 states/eV per cell
* E: -101.2 eV/cell

---

(4)
First-principles (meta-GGA SCAN) data for a crystal of Cu2HgP4 relaxed with PBEsol, as listed in Alexandria via LeMat-Bulk.

Structure (POSCAR):
```
Cu2HgP4
1.0
5.106 0.000 0.000
0.000 5.106 0.000
0.000 0.000 4.551
Cu Hg P
2 1 4
Cartesian
0.000 2.553 2.276
2.553 0.000 2.276
0.000 0.000 0.000
1.766 1.766 1.024
3.339 3.339 1.024
1.766 3.339 3.528
3.339 1.766 3.528
```

## Properties
* N(E_F): 3.05 states/eV per cell
* E: -138.0 eV/cell

---

(5)
First-principles (meta-GGA SCAN) data for a crystal of CuHg2Pb relaxed with PBEsol, as listed in Alexandria via LeMat-Bulk.

Structure (POSCAR):
```
CuHg2Pb
1.0
3.378 0.000 0.000
1.689 2.925 0.000
1.689 0.975 8.837
Cu Hg Pb
1 2 1
Cartesian
0.000 0.000 0.000
1.689 0.975 1.806
5.066 2.925 7.031
3.378 1.950 4.418
```

## Properties
* N(E_F): 1.51 states/eV per cell
* E: -226.6 eV/cell

---

(6)
First-principles (meta-GGA SCAN) data for a crystal of CuHg2Pb relaxed with PBEsol, as listed in Alexandria via LeMat-Bulk.

Structure (POSCAR):
```
CuHg2Pb
1.0
-0.601 -4.029 1.120
1.627 0.817 3.812
-4.388 1.109 1.635
Cu Hg Pb
1 2 1
Cartesian
-2.194 0.555 0.818
0.814 0.408 1.906
-0.301 -2.014 0.560
-1.681 -1.052 3.284
```

## Properties
* N(E_F): 1.69 states/eV per cell
* E: -226.1 eV/cell

---

(7)
First-principles (meta-GGA SCAN) data for a crystal of CuHg2Pb relaxed with PBEsol, as listed in Alexandria via LeMat-Bulk.

Structure (POSCAR):
```
CuHg2Pb
1.0
-3.115 0.734 1.016
-0.016 -0.900 -4.948
-0.036 -5.161 3.619
Cu Hg Pb
1 2 1
Cartesian
-2.389 -0.474 -1.433
-0.162 -0.707 0.015
-0.821 -4.255 0.558
-1.387 -3.005 -2.082
```

## Properties
* N(E_F): 1.39 states/eV per cell
* E: -226.7 eV/cell

---

(8)
First-principles (meta-GGA SCAN) data for a crystal of Cu2HgPb relaxed with PBEsol, as listed in Alexandria via LeMat-Bulk.

Structure (POSCAR):
```
Cu2HgPb
1.0
3.555 0.000 0.000
0.000 4.047 0.000
-1.778 0.000 5.032
Cu Hg Pb
2 1 1
Cartesian
1.778 0.000 3.206
1.778 2.023 1.761
0.000 0.000 1.061
0.000 2.023 4.056
```

## Properties
* N(E_F): 1.31 states/eV per cell
* E: -173.5 eV/cell

---

(9)
First-principles (meta-GGA SCAN) data for a crystal of CuHg2Pb relaxed with PBEsol, as listed in Alexandria via LeMat-Bulk.

Structure (POSCAR):
```
CuHg2Pb
1.0
-2.368 4.180 1.233
-4.065 1.373 -2.487
-4.442 -0.221 2.194
Cu Hg Pb
1 2 1
Cartesian
-5.438 2.666 0.470
0.000 0.000 0.000
-8.157 3.999 0.705
-2.719 1.333 0.235
```

## Properties
* N(E_F): 1.45 states/eV per cell
* E: -226.0 eV/cell

---

(10)
First-principles (meta-GGA SCAN) data for a crystal of CuReHgPd2 relaxed with PBEsol, as listed in Alexandria via LeMat-Bulk.

Structure (POSCAR):
```
CuReHgPd2
1.0
-3.893 2.163 0.979
-1.642 -0.909 -4.520
-1.949 -4.211 1.555
Re Cu Hg Pd
1 1 1 2
Cartesian
-3.742 -1.479 -0.993
-1.946 1.082 0.489
0.000 0.000 0.000
-0.975 -2.106 0.778
-0.821 -0.455 -2.260
```

## Properties
* N(E_F): 2.56 states/eV per cell
* E: -210.6 eV/cell

---

(11)
First-principles (meta-GGA SCAN) data for a crystal of CuHgPt2 relaxed with PBEsol, as listed in Alexandria via LeMat-Bulk.

Structure (POSCAR):
```
CuHgPt2
1.0
2.837 0.000 0.000
0.000 2.837 0.000
0.000 0.000 7.574
Cu Hg Pt
1 1 2
Cartesian
0.000 0.000 3.675
1.419 1.419 5.584
0.000 0.000 0.084
1.419 1.419 2.019
```

## Properties
* N(E_F): 2.02 states/eV per cell
* E: -223.5 eV/cell

---

(12)
First-principles (meta-GGA SCAN) data for a crystal of CuHg2Pt relaxed with PBEsol, as listed in Alexandria via LeMat-Bulk.

Structure (POSCAR):
```
CuHg2Pt
1.0
2.934 0.000 0.095
0.000 3.779 0.000
-0.198 0.000 6.001
Cu Hg Pt
1 2 1
Cartesian
1.368 1.890 3.048
2.787 0.000 4.537
-0.051 0.000 1.560
1.467 1.890 0.048
```

## Properties
* N(E_F): 1.27 states/eV per cell
* offset from the most stable computed form: 18 meV per atom

---

(13)
First-principles (meta-GGA SCAN) data for a crystal of CuHg2Pt relaxed with PBEsol, as listed in Alexandria via LeMat-Bulk.

Structure (POSCAR):
```
CuHg2Pt
1.0
-3.575 -0.906 0.907
1.401 -2.361 3.165
-0.192 3.314 2.556
Cu Hg Pt
1 2 1
Cartesian
-1.883 1.204 1.731
0.000 0.000 0.000
0.605 0.476 2.861
-1.087 -1.633 2.036
```

## Properties
* N(E_F): 1.45 states/eV per cell
* offset from the most stable computed form: 0 meV per atom

---

(14)
First-principles (meta-GGA SCAN) data for a crystal of CuHg2Pt relaxed with PBEsol, as listed in Alexandria via LeMat-Bulk.

Structure (POSCAR):
```
CuHg2Pt
1.0
-1.909 -2.304 0.262
-0.491 -1.245 2.689
-7.311 4.371 2.366
Cu Hg Pt
1 2 1
Cartesian
0.000 0.000 0.000
-2.359 0.147 1.315
-7.352 0.675 4.002
-4.856 0.411 2.658
```

## Properties
* N(E_F): 1.55 states/eV per cell
* offset from the most stable computed form: 65 meV per atom

---

(15)
First-principles (meta-GGA SCAN) data for a crystal of CuHgPt2 relaxed with PBEsol, as listed in Alexandria via LeMat-Bulk.

Structure (POSCAR):
```
CuHgPt2
1.0
2.910 0.000 0.000
0.000 2.910 0.000
0.000 0.000 7.171
Cu Hg Pt
1 1 2
Cartesian
1.455 1.455 0.000
1.455 1.455 3.586
0.000 0.000 5.601
0.000 0.000 1.570
```

## Properties
* N(E_F): 1.54 states/eV per cell
* E: -223.8 eV/cell

---

(16)
First-principles (meta-GGA SCAN) data for a crystal of CuHg2Pt relaxed with PBEsol, as listed in Alexandria via LeMat-Bulk.

Structure (POSCAR):
```
CuHg2Pt
1.0
-1.049 3.018 3.249
-3.598 -0.720 2.703
0.622 -1.066 4.386
Cu Hg Pt
1 2 1
Cartesian
0.000 0.000 0.000
-3.018 0.924 7.754
-1.006 0.308 2.585
-2.012 0.616 5.169
```

## Properties
* N(E_F): 0.86 states/eV per cell
* offset from the most stable computed form: 6 meV per atom

---

(17)
First-principles (meta-GGA SCAN) data for a crystal of CuHg2Pt relaxed with PBEsol, as listed in Alexandria via LeMat-Bulk.

Structure (POSCAR):
```
CuHg2Pt
1.0
2.974 0.000 0.000
-1.487 4.446 -0.035
0.000 -1.011 5.140
Cu Hg Pt
1 2 1
Cartesian
0.000 -0.506 2.570
1.487 1.427 3.793
0.000 2.008 1.311
1.487 0.000 0.000
```

## Properties
* N(E_F): 1.18 states/eV per cell
* offset from the most stable computed form: 27 meV per atom

---

(18)
First-principles (meta-GGA SCAN) data for a crystal of Cu2HgPt relaxed with PBEsol, as listed in Alexandria via LeMat-Bulk.

Structure (POSCAR):
```
Cu2HgPt
1.0
3.832 0.000 0.000
0.000 3.832 0.000
-1.916 -1.916 3.942
Cu Hg Pt
2 1 1
Cartesian
0.000 0.000 0.000
1.916 0.000 1.971
1.916 1.916 0.000
0.000 1.916 1.971
```

## Properties
* N(E_F): 1.03 states/eV per cell
* E: -168.7 eV/cell

---

(19)
First-principles (meta-GGA SCAN) data for a crystal of RbCuHg2 relaxed with PBEsol, as listed in Alexandria via LeMat-Bulk.

Structure (POSCAR):
```
RbCuHg2
1.0
5.274 0.000 0.000
2.637 4.567 0.000
2.637 1.522 4.306
Cu Hg Rb
1 2 1
Cartesian
0.000 0.000 0.000
2.637 1.522 1.076
7.911 4.567 3.229
5.274 3.045 2.153
```

## Properties
* N(E_F): 1.01 states/eV per cell
* E: -171.5 eV/cell

---

(20)
First-principles (meta-GGA SCAN) data for a crystal of RbCuHg2W relaxed with PBEsol, as listed in Alexandria via LeMat-Bulk.

Structure (POSCAR):
```
RbCuHg2W
1.0
-1.215 1.174 5.121
3.089 -4.752 1.822
4.909 3.344 0.398
Rb Cu Hg W
1 1 2 1
Cartesian
0.000 0.000 0.000
-0.608 0.587 2.561
2.454 1.672 0.199
1.544 -2.376 0.911
3.391 -0.117 3.671
```

## Properties
* N(E_F): 2.47 states/eV per cell
* E: -231.0 eV/cell

---

So what do the calculations give for total magnetic moment? Going down the list: 0.0; 0.0; 0.0; 0.0; 0.0; 0.0; 0.0; 0.0; 0.0; 4.4; 0.0; 0.0; 0.0; 0.0; 0.0; 0.0; 0.0; 0.0; 0.0; 5.4 μB/f.u..